VNi14Os: relaxed, PBE.

As for the magnetic moment: 0.151 μB/atom. As for the formation energy: -21 meV/atom. As for the calculated total energy: -6.35 eV per atom.

The space group is P4/mmm (No. 123) and the conventional cell measures 5.043, 5.043 and 7.022 Å, with angles of 90.00, 90.00 and 90.00 degrees. The asymmetric unit holds V at (0.000, 0.000, 0.000), Ni at (0.000, 0.000, 0.500), Ni at (0.000, 0.500, 0.000), Ni at (0.000, 0.500, 0.500), Ni at (0.249, 0.249, 0.250), Ni at (0.500, 0.500, 0.500) and Os at (0.500, 0.500, 0.000).